Model w:
A relaxed structure of ScCrOs3. Source: Alexandria, functional PBE.

a b c (Å): 4.540 4.540 4.540
angles (deg): 90.00 90.00 90.00
Space group Pm-3m (No. 221)
Inequivalent atoms, fractional coordinates:
1 Sc 0.000 0.000 0.000 (multiplicity 1)
2 Cr 0.500 0.500 0.500 (multiplicity 1)
3 Os 0.000 0.000 0.500 (multiplicity 3)

Calculated values
The calculation puts the size of the total moment at 0.1 μB per formula unit. For the density of states at the Fermi level, the calculation gives 12.10 states/eV/cell.

***

Model x:
A relaxed structure of ScCrOs3. Source: Alexandria, functional PBE.

a b c (Å): 4.461 4.461 4.461
angles (deg): 90.00 90.00 90.00
Space group Pm-3m (No. 221)
Inequivalent atoms, fractional coordinates:
1 Sc 0.000 0.000 0.000 (multiplicity 1)
2 Cr 0.500 0.500 0.500 (multiplicity 1)
3 Os 0.000 0.500 0.500 (multiplicity 3)

Calculated values
The calculation puts the size of the total moment at 0.0 μB per formula unit. For the density of states at the Fermi level, the calculation gives 4.45 states/eV/cell.

***

Relative energies, in eV/atom, with the most stable structure set to zero: model w 1.591; model x 0.000.

***

Model w:
A relaxed structure of CrOs3Se. Source: Alexandria, functional PBE.

a b c (Å): 4.485 4.485 4.485
angles (deg): 90.00 90.00 90.00
Space group Pm-3m (No. 221)
Inequivalent atoms, fractional coordinates:
1 Cr 0.000 0.000 0.000 (multiplicity 1)
2 Os 0.000 0.500 0.500 (multiplicity 3)
3 Se 0.500 0.500 0.500 (multiplicity 1)

Calculated values
The calculation puts the size of the total moment at 0.2 μB per formula unit. For the density of states at the Fermi level, the calculation gives 18.72 states/eV/cell.

***

Model x:
A relaxed structure of CrOs3Se. Source: Alexandria, functional PBE.

a b c (Å): 4.476 4.476 4.476
angles (deg): 90.00 90.00 90.00
Space group Pm-3m (No. 221)
Inequivalent atoms, fractional coordinates:
1 Cr 0.000 0.000 0.000 (multiplicity 1)
2 Os 0.000 0.000 0.500 (multiplicity 3)
3 Se 0.500 0.500 0.500 (multiplicity 1)

Calculated values
The calculation puts the size of the total moment at 0.0 μB per formula unit. For the density of states at the Fermi level, the calculation gives 8.93 states/eV/cell.

***

Relative energies, in eV/atom, with the most stable structure set to zero: model w 0.183; model x 0.000.

***

Model w:
A relaxed structure of CrOsSe. Source: Alexandria, functional PBE.

a b c (Å): 2.8483 2.8483 6.1748
angles (deg): 90.00 90.00 120.00
Space group P3m1 (No. 156)
Inequivalent atoms, fractional coordinates:
1 Cr 0.0000 0.0000 0.0000 (multiplicity 1)
2 Os 0.6667 0.3333 0.3120 (multiplicity 1)
3 Se 0.3333 0.6667 0.6994 (multiplicity 1)

Calculated values
The calculation puts the size of the total moment at 0.0 μB per formula unit. For the density of states at the Fermi level, the calculation gives 3.53 states/eV/cell.

***

Model x:
A relaxed structure of CrOsSe. Source: Alexandria, functional PBE.

a b c (Å): 2.901 2.901 10.066
angles (deg): 90.00 90.00 90.00
Space group I4mm (No. 107)
Inequivalent atoms, fractional coordinates:
1 Cr 0.000 0.000 0.000 (multiplicity 2)
2 Os 0.000 0.000 0.654 (multiplicity 2)
3 Se 0.000 0.000 0.341 (multiplicity 2)

Calculated values
The calculation puts the size of the total moment at 0.0 μB per formula unit. For the density of states at the Fermi level, the calculation gives 2.81 states/eV/cell.

***

Model y:
A relaxed structure of CrOsSe. Source: Alexandria, functional PBE.

a b c (Å): 2.938 4.692 14.182
angles (deg): 90.00 90.00 90.00
Space group Fmm2 (No. 42)
Inequivalent atoms, fractional coordinates:
1 Cr 0.000 0.000 0.000 (multiplicity 4)
2 Os 0.000 0.000 0.637 (multiplicity 4)
3 Se 0.000 0.000 0.355 (multiplicity 4)

Calculated values
The calculation puts the size of the total moment at 1.8 μB per formula unit. For the density of states at the Fermi level, the calculation gives 11.63 states/eV/cell.

***

Relative energies, in eV/atom, with the most stable structure set to zero: model w 0.039; model x 0.000; model y 0.317.

***

Model w:
A relaxed structure of CrOsSe. Source: Alexandria, functional PBE.

a b c (Å): 5.876 5.876 5.876
angles (deg): 90.00 90.00 90.00
Space group F-43m (No. 216)
Inequivalent atoms, fractional coordinates:
1 Cr 0.000 0.000 0.000 (multiplicity 4)
2 Os 0.250 0.250 0.250 (multiplicity 4)
3 Se 0.000 0.000 0.500 (multiplicity 4)

Calculated values
The calculation puts the size of the total moment at 1.9 μB per formula unit. For the density of states at the Fermi level, the calculation gives 8.66 states/eV/cell.

***

Model x:
A relaxed structure of CrOsSe. Source: Alexandria, functional PBE.

a b c (Å): 4.1227 4.1227 2.8901
angles (deg): 90.00 90.00 120.00
Space group P3m1 (No. 156)
Inequivalent atoms, fractional coordinates:
1 Cr 0.0000 0.0000 0.0000 (multiplicity 1)
2 Os 0.3333 0.6667 0.5109 (multiplicity 1)
3 Se 0.6667 0.3333 0.7950 (multiplicity 1)

Calculated values
The calculation puts the size of the total moment at 0.0 μB per formula unit. For the density of states at the Fermi level, the calculation gives 2.52 states/eV/cell.

***

Model y:
A relaxed structure of CrOsSe. Source: Alexandria, functional PBE.

a b c (Å): 2.971 3.937 7.475
angles (deg): 90.00 90.00 90.00
Space group Imm2 (No. 44)
Inequivalent atoms, fractional coordinates:
1 Cr 0.000 0.000 0.000 (multiplicity 2)
2 Os 0.000 0.000 0.653 (multiplicity 2)
3 Se 0.000 0.000 0.322 (multiplicity 2)

Calculated values
The calculation puts the size of the total moment at 1.4 μB per formula unit. For the density of states at the Fermi level, the calculation gives 5.33 states/eV/cell.

***

Relative energies, in eV/atom, with the most stable structure set to zero: model w 0.000; model x 0.152; model y 0.207.

***

Model w:
A relaxed structure of CrSn2Os. Source: Alexandria, functional PBE.

a b c (Å): 7.478 7.478 5.922
angles (deg): 90.00 90.00 90.00
Space group I-42d (No. 122)
Inequivalent atoms, fractional coordinates:
1 Cr 0.000 0.000 0.000 (multiplicity 4)
2 Sn 0.231 0.250 0.625 (multiplicity 8)
3 Os 0.000 0.000 0.500 (multiplicity 4)

Calculated values
The calculation puts the size of the total moment at 3.8 μB per formula unit. For the density of states at the Fermi level, the calculation gives 10.29 states/eV/cell.

***

Model x:
A relaxed structure of CrSn2Os. Source: Alexandria, functional PBE.

a b c (Å): 6.588 6.588 6.588
angles (deg): 90.00 90.00 90.00
Space group Fm-3m (No. 225)
Inequivalent atoms, fractional coordinates:
1 Cr 0.000 0.000 0.000 (multiplicity 4)
2 Sn 0.250 0.250 0.250 (multiplicity 8)
3 Os 0.000 0.000 0.500 (multiplicity 4)

Calculated values
The calculation puts the size of the total moment at 3.4 μB per formula unit. For the density of states at the Fermi level, the calculation gives 13.35 states/eV/cell.

***

Relative energies, in eV/atom, with the most stable structure set to zero: model w 0.406; model x 0.000.